Ho6CoRu5, optimized geometry, DFT PBE; formation energy = -3.91 eV/f.u.; SG = Immm; DOS(E_F) = 12.3 states/eV per cell
1.0
-0.119 -1.179 -4.634
6.671 0.954 -0.414
-2.191 -6.732 4.238
Ho Ru Co
6 5 1
Direct
0.166 0.416 0.333 Ho
0.166 0.917 0.333 Ho
0.500 0.751 0.000 Ho
0.500 0.249 0.000 Ho
0.834 0.584 0.667 Ho
0.834 0.083 0.667 Ho
0.666 0.666 0.332 Ru
0.334 0.334 0.668 Ru
0.334 0.834 0.668 Ru
0.666 0.166 0.332 Ru
0.000 0.500 0.000 Ru
0.000 0.000 0.000 Co